VASP calculation (PBE) on crystalline CeSmPdRh at its relaxed geometry.

Cell lengths 5.0028, 5.0028, 5.0028 Å; angles 60.00, 60.00, 60.00 degrees
Each line ends with the local moment (μB).
Fractional positions:
Rh 0.5000 0.5000 0.5000  -0.03
Ce 0.2500 0.2500 0.2500  0.73
Sm 0.7500 0.7500 0.7500  0.07
Pd 0.0000 0.0000 0.0000  0.01

electronic total energy: -6.48 eV/atom
ΔH_f (0 K): -0.683 eV/atom